Material: K8TiTe6
Method: DFT, PBE
State: relaxed

a = 9.1440 Å, b = 9.9897 Å, c = 14.3155 Å
α = 90.00°, β = 90.00°, γ = 90.00°
Positions (direct):
K: 0.8218 0.7700 0.8964
K: 0.0185 0.1961 0.1594
K: 0.6312 0.5000 0.5153
K: 0.9815 0.6961 0.6594
K: 0.1782 0.7300 0.3964
K: 0.3688 0.0000 0.0153
K: 0.1782 0.2700 0.3964
K: 0.5758 0.2330 0.2109
K: 0.4242 0.7330 0.7109
K: 0.4242 0.2670 0.7109
K: 0.5758 0.7670 0.2109
K: 0.0185 0.8039 0.1594
K: 0.5091 0.5000 0.9635
K: 0.4909 0.0000 0.4635
K: 0.8218 0.2300 0.8964
K: 0.9815 0.3039 0.6594
Te: 0.8035 0.7871 0.4248
Te: 0.2980 0.0000 0.2564
Te: 0.7377 0.0000 0.0628
Te: 0.2623 0.5000 0.5628
Te: 0.1965 0.2871 0.9248
Te: 0.1965 0.7129 0.9248
Te: 0.2878 0.5000 0.1794
Te: 0.8035 0.2129 0.4248
Te: 0.8522 0.5000 0.0783
Te: 0.7122 0.0000 0.6794
Te: 0.7020 0.5000 0.7564
Te: 0.1478 0.0000 0.5783
Ti: 0.8712 0.0000 0.5251
Ti: 0.1288 0.5000 0.0251

- formation energy without anion corrections (eV/f.u.) = -14.60
- uncorrected energy (eV per atom) = -3.342
- M_tot (μB/f.u.) = 0.00


Material: Cd2PbAuI
Method: DFT, PBE
State: relaxed

a = 5.4075 Å, b = 5.4075 Å, c = 5.5596 Å
α = 90.00°, β = 90.00°, γ = 90.00°
Positions (direct):
Cd: 0.0000 0.5000 0.0000
Cd: 0.5000 0.0000 0.0000
Pb: 0.0000 0.0000 0.5000
I: 0.5000 0.5000 0.5000
Au: 0.0000 0.0000 0.0000

- formation energy without anion corrections (eV/f.u.) = -0.48
- uncorrected energy (eV per atom) = -2.169
- M_tot (μB/f.u.) = 0.00


Material: Ca2ScCu2O6
Method: DFT, PBE
State: relaxed

a = 5.7727 Å, b = 5.7727 Å, c = 6.3779 Å
α = 63.09°, β = 63.09°, γ = 60.00°
Each line ends with the local moment (μB).
Positions (direct):
Cu: 0.4176 0.4176 0.7471  0.56
Cu: 0.5824 0.5824 0.2529  0.56
Ca: 0.8018 0.8018 0.5945  0.00
Ca: 0.1982 0.1982 0.4055  0.00
O: 0.2156 0.7590 0.2665  0.21
O: 0.2410 0.2410 0.7335  0.21
O: 0.2410 0.7844 0.7335  0.21
O: 0.7590 0.2156 0.2665  0.21
O: 0.7590 0.7590 0.2665  0.21
O: 0.7844 0.2410 0.7335  0.21
Sc: 0.0000 0.0000 0.0000  0.00

- formation energy without anion corrections (eV/f.u.) = -20.27
- uncorrected energy (eV per atom) = -6.232
- M_tot (μB/f.u.) = 2.59